Entry 1:
Co6SiMo: single point on PBEsol structure, SCAN.

a b c (Å): 6.039 6.039 9.866
angles (deg): 90.00 90.00 109.83
Atoms (fractional coordinates):
Co 0.251 0.749 0.753
Co 0.872 0.621 0.877
Co 0.128 0.379 0.877
Co 0.749 0.251 0.753
Co 0.379 0.128 0.877
Co 0.621 0.872 0.877
Co 0.500 0.500 0.500
Co 0.131 0.378 0.627
Co 0.378 0.131 0.627
Co 0.251 0.749 0.247
Co 0.869 0.622 0.373
Co 0.131 0.378 0.373
Co 0.749 0.251 0.247
Co 0.378 0.131 0.373
Co 0.622 0.869 0.373
Co 0.500 0.500 0.000
Co 0.128 0.379 0.123
Co 0.379 0.128 0.123
Co 0.000 0.000 0.500
Co 0.622 0.869 0.627
Co 0.869 0.622 0.627
Co 0.000 0.000 0.000
Co 0.621 0.872 0.123
Co 0.872 0.621 0.123
Mo 0.243 0.757 0.500
Mo 0.757 0.243 0.500
Mo 0.000 0.000 0.754
Mo 0.000 0.000 0.246
Si 0.242 0.758 0.000
Si 0.758 0.242 0.000
Si 0.500 0.500 0.754
Si 0.500 0.500 0.246

Results
Space-group type: No. 65
Fermi-level density of states in states/eV per atom: 0.55
ΔE_f (raw) in eV/atom: 0.02
Electronic total energy in eV/cell: -594.2



Entry 2:
Co3SiMo2: single point on PBEsol structure, SCAN.

a b c (Å): 4.705 4.705 7.307
angles (deg): 90.00 90.00 120.00
Atoms (fractional coordinates):
Mo 0.333 0.667 0.567
Mo 0.667 0.333 0.433
Mo 0.667 0.333 0.067
Mo 0.333 0.667 0.933
Co 0.828 0.172 0.750
Co 0.657 0.828 0.250
Co 0.172 0.828 0.250
Co 0.828 0.657 0.750
Co 0.172 0.343 0.250
Co 0.343 0.172 0.750
Si 0.000 0.000 0.500
Si 0.000 0.000 0.000

Results
Space-group type: No. 194
Fermi-level density of states in states/eV per atom: 1.13
ΔE_f (raw) in eV/atom: -0.20
Electronic total energy in eV/cell: -265.8



Entry 3:
CoSiMo2: single point on PBEsol structure, SCAN.

a b c (Å): 3.110 4.143 4.822
angles (deg): 115.44 108.81 90.00
Site moments in Bohr magnetons follow the coordinates.
Atoms (fractional coordinates):
Co 0.232 0.732 0.465  1.32
Mo 0.993 0.993 0.986  -0.33
Mo 0.756 0.256 0.512  0.10
Si 0.519 0.519 0.037  0.02

Results
Space-group type: No. 44
Fermi-level density of states in states/eV per atom: 0.56
ΔE_f (raw) in eV/atom: -0.11
Electronic total energy in eV/cell: -97.5



Entry 4:
CoSi2Mo: single point on PBEsol structure, SCAN.

a b c (Å): 2.897 2.897 5.772
angles (deg): 90.00 90.00 90.00
Atoms (fractional coordinates):
Co 0.500 0.500 0.500
Mo 0.500 0.500 0.000
Si 0.000 0.000 0.272
Si 0.000 0.000 0.728

Results
Space-group type: No. 123
Fermi-level density of states in states/eV per atom: 0.70
ΔE_f (raw) in eV/atom: -0.16
Electronic total energy in eV/cell: -72.9